## Tl4HgI2F (PBE)

Data for crystalline Tl4HgI2F at its relaxed geometry.

Calculated total energy (eV/atom): -2.4983
Formation energy without anion corrections (meV/atom): -656

```
Tl4HgI2F
1.0
-7.069 3.542 -4.952
-0.505 -7.671 -5.286
-1.362 -1.050 8.488
Tl Hg I F
8 2 4 2
direct
0.219 0.760 0.987
0.740 0.281 0.513
0.260 0.719 0.487
0.781 0.240 0.013
0.823 0.811 0.012
0.689 0.677 0.488
0.311 0.323 0.512
0.177 0.189 0.988
0.000 0.500 0.000
0.000 0.500 0.500
0.500 0.000 0.000
0.500 0.000 0.500
0.000 0.000 0.500
0.500 0.500 0.000
0.500 0.500 0.500
0.000 0.000 0.000
```